No. 1
Sc3NbTc2: relaxed, PBE-GGA.

a b c (Å): 3.259 3.259 10.541
angles (deg): 90.00 90.00 90.00
Sites, in units of the cell vectors:
1 Sc 0.000 0.000 0.000
2 Sc 0.000 0.000 0.288
3 Sc 0.500 0.500 0.769
4 Nb 0.500 0.500 0.481
5 Tc 0.000 0.000 0.614
6 Tc 0.500 0.500 0.138

Properties
- volume (Å³ per cell) = 111.9
- energy of formation (eV/atom) = -0.17
- space group = No. 99



No. 2
NbGaCoHg: relaxed, PBE-GGA.

a b c (Å): 6.382 6.382 6.382
angles (deg): 90.00 90.00 90.00
Sites, in units of the cell vectors:
1 Nb 0.000 0.000 0.000
2 Nb 0.000 0.500 0.500
3 Nb 0.500 0.000 0.500
4 Nb 0.500 0.500 0.000
5 Ga 0.250 0.250 0.250
6 Ga 0.250 0.750 0.750
7 Ga 0.750 0.250 0.750
8 Ga 0.750 0.750 0.250
9 Co 0.000 0.000 0.500
10 Co 0.000 0.500 0.000
11 Co 0.500 0.000 0.000
12 Co 0.500 0.500 0.500
13 Hg 0.250 0.250 0.750
14 Hg 0.250 0.750 0.250
15 Hg 0.750 0.250 0.250
16 Hg 0.750 0.750 0.750

Properties
- offset from the most stable computed form (eV/f.u.) = 0.00
- volume (Å³ per cell) = 260.0
- space group = No. 216



No. 3
RbZrBeAu: relaxed, PBE-GGA.

a b c (Å): 7.194 7.194 7.194
angles (deg): 90.00 90.00 90.00
Sites, in units of the cell vectors:
1 Rb 0.000 0.000 0.000
2 Rb 0.000 0.500 0.500
3 Rb 0.500 0.000 0.500
4 Rb 0.500 0.500 0.000
5 Zr 0.000 0.000 0.500
6 Zr 0.000 0.500 0.000
7 Zr 0.500 0.000 0.000
8 Zr 0.500 0.500 0.500
9 Be 0.250 0.250 0.250
10 Be 0.250 0.750 0.750
11 Be 0.750 0.250 0.750
12 Be 0.750 0.750 0.250
13 Au 0.250 0.250 0.750
14 Au 0.250 0.750 0.250
15 Au 0.750 0.250 0.250
16 Au 0.750 0.750 0.750

Properties
- offset from the most stable computed form (eV/f.u.) = 0.31
- volume (Å³ per cell) = 372.4
- space group = No. 216



No. 4
BeAgAu2: relaxed, PBE-GGA.

a b c (Å): 6.358 6.358 6.358
angles (deg): 90.00 90.00 90.00
Sites, in units of the cell vectors:
1 Be 0.000 0.000 0.000
2 Be 0.000 0.500 0.500
3 Be 0.500 0.000 0.500
4 Be 0.500 0.500 0.000
5 Ag 0.250 0.250 0.250
6 Ag 0.250 0.750 0.750
7 Ag 0.750 0.250 0.750
8 Ag 0.750 0.750 0.250
9 Au 0.000 0.000 0.500
10 Au 0.000 0.500 0.000
11 Au 0.250 0.250 0.750
12 Au 0.250 0.750 0.250
13 Au 0.500 0.000 0.000
14 Au 0.500 0.500 0.500
15 Au 0.750 0.250 0.250
16 Au 0.750 0.750 0.750

Properties
- volume (Å³ per cell) = 257.0
- E (eV per cell) = -50.32
- space group = No. 216



No. 5
PmFeOs: relaxed, PBE-GGA.

a b c (Å): 6.220 6.220 6.220
angles (deg): 90.00 90.00 90.00
Sites, in units of the cell vectors:
1 Pm 0.000 0.000 0.000
2 Pm 0.000 0.500 0.500
3 Pm 0.500 0.000 0.500
4 Pm 0.500 0.500 0.000
5 Fe 0.250 0.250 0.750
6 Fe 0.250 0.750 0.250
7 Fe 0.750 0.250 0.250
8 Fe 0.750 0.750 0.750
9 Os 0.000 0.000 0.500
10 Os 0.000 0.500 0.000
11 Os 0.500 0.000 0.000
12 Os 0.500 0.500 0.500

Properties
- offset from the most stable computed form (eV/f.u.) = 0.00
- volume (Å³ per cell) = 240.6
- energy of formation (eV/atom) = 0.57
- space group = No. 216



No. 6
TlTe2OsAuSe: relaxed, PBE-GGA.

a b c (Å): 8.320 8.320 10.010
angles (deg): 90.00 90.00 151.78
Sites, in units of the cell vectors:
1 Tl 0.183 0.817 0.750
2 Tl 0.817 0.183 0.250
3 Te 0.104 0.896 0.028
4 Te 0.104 0.896 0.472
5 Te 0.896 0.104 0.528
6 Te 0.896 0.104 0.972
7 Os 0.500 0.500 0.000
8 Os 0.500 0.500 0.500
9 Au 0.191 0.809 0.250
10 Au 0.809 0.191 0.750
11 Se 0.454 0.546 0.250
12 Se 0.546 0.454 0.750

Properties
- volume (Å³ per cell) = 327.6
- E (eV per cell) = -52.35
- space group = No. 63